PBE La16Sm6Ho7, optimized geometry; total moment = 1.64 μB per formula unit; DOS(E_F) = 58.11 states/eV/f.u.; total DFT energy (no corrections) = -4.61 eV/atom
1.0
-9.311 -6.463 -0.928
0.937 -10.920 -3.033
-2.006 -8.208 7.611
La Sm Ho
16 6 7
direct
0.346 0.963 0.346 La
0.363 0.879 0.879 La
0.879 0.879 0.363 La
0.654 0.654 0.654 La
0.879 0.363 0.879 La
0.654 0.654 0.037 La
0.121 0.637 0.121 La
0.637 0.121 0.121 La
0.121 0.121 0.637 La
0.346 0.346 0.963 La
0.654 0.037 0.654 La
0.121 0.121 0.121 La
0.037 0.654 0.654 La
0.879 0.879 0.879 La
0.963 0.346 0.346 La
0.346 0.346 0.346 La
0.704 0.296 0.704 Sm
0.296 0.296 0.704 Sm
0.704 0.296 0.296 Sm
0.296 0.704 0.296 Sm
0.296 0.704 0.704 Sm
0.704 0.704 0.296 Sm
0.500 0.000 0.000 Ho
0.500 0.000 0.500 Ho
0.000 0.500 0.500 Ho
0.500 0.500 0.000 Ho
0.000 0.000 0.500 Ho
0.000 0.500 0.000 Ho
0.000 0.000 0.000 Ho